Crystalline Ba2LiCo at its relaxed geometry. Source: Alexandria via LeMat-Bulk, functional PBE.

Structure (POSCAR):
```
Ba2LiCo
1.0
7.9569 0.0000 0.0000
0.0000 7.9569 0.0000
0.0000 0.0000 7.9569
Ba Li Co
8 4 4
direct
0.2500 0.2500 0.2500 Ba
0.2500 0.2500 0.7500 Ba
0.2500 0.7500 0.2500 Ba
0.2500 0.7500 0.7500 Ba
0.7500 0.2500 0.2500 Ba
0.7500 0.2500 0.7500 Ba
0.7500 0.7500 0.2500 Ba
0.7500 0.7500 0.7500 Ba
0.0000 0.0000 0.0000 Li
0.0000 0.5000 0.5000 Li
0.5000 0.0000 0.5000 Li
0.5000 0.5000 0.0000 Li
0.0000 0.0000 0.5000 Co
0.0000 0.5000 0.0000 Co
0.5000 0.0000 0.0000 Co
0.5000 0.5000 0.5000 Co
```

## Properties
Formation energy from the elements: 0.405 eV/atom
Raw total energy: -2.81 eV/atom
N(E_F): 1.72 states/eV per atom
Total magnetic moment: 0.28 μB per formula unit